Entry from Alexandria: a relaxed structure of Al3ZnSi (PBE).

Structure (POSCAR):
```
Al3ZnSi
1.0
-3.370 3.417 0.232
-3.013 -2.803 -2.480
-1.628 -1.885 4.109
Zn Si Al
1 1 3
Direct
0.500 0.500 0.500
0.000 0.000 0.000
0.000 0.500 0.000
0.000 0.000 0.500
0.500 0.000 0.000
```

Output
**Calculated volume**: 22.19 Å³/atom
**E_form (uncorrected)**: 0.617 eV/atom
**Total magnetic moment**: 0.0 μB per cell
**Space-group type**: Pm-3m
**Energy above the most stable polymorph in this dataset**: 0.000 eV/atom

Entry from Alexandria: a relaxed structure of Al2ZnSi (PBE).

Structure (POSCAR):
```
Al2ZnSi
1.0
-5.922 -4.603 0.453
2.746 -4.092 -5.672
-0.299 -5.838 -0.910
Zn Si Al
2 2 4
Direct
0.000 0.000 0.000
0.750 0.250 0.500
0.500 0.500 0.000
0.250 0.750 0.500
0.580 0.125 0.250
0.170 0.625 0.250
0.375 0.420 0.750
0.875 0.830 0.750
```

Output
**Calculated volume**: 18.36 Å³/atom
**E_form (uncorrected)**: 0.239 eV/atom
**Total magnetic moment**: 0.0 μB per cell
**Space-group type**: I-42d

Entry from Alexandria: a relaxed structure of AlZn2Si (PBE).

Structure (POSCAR):
```
AlZn2Si
1.0
-1.625 3.323 -1.201
-2.348 -1.332 -0.510
-3.125 0.378 5.274
Zn Si Al
2 1 1
Direct
0.000 0.815 0.023
0.500 0.201 0.244
0.500 0.934 0.722
0.000 0.550 0.511
```

Output
**Calculated volume**: 15.90 Å³/atom
**E_form (uncorrected)**: 0.160 eV/atom
**Total magnetic moment**: 0.0 μB per cell
**Space-group type**: Pm